[1]
The following is a PBE-GGA calculation of a relaxed Rb4Nd3ZrS8 crystal, from the Alexandria database.

a b c (Å): 8.2335 8.2335 23.1699
angles (deg): 90.00 90.00 120.00
Last column: nearest neighbours and their distance in Å.
Space group R-3m (No. 166, hexagonal axes)
One atom of each set of equivalent atoms:
Rb 0.0000 0.0000 0.0000  6 S 3.46
Rb 0.0000 0.5000 0.0000  6 S 3.31
Nd 0.0000 0.5000 0.5000  6 S 2.85-2.87
Zr 0.0000 0.0000 0.5000  6 S 2.68
S 0.0000 0.0000 0.2342  3 Nd 2.85
S 0.0211 0.5106 0.2311  1 Zr 2.68, 2 Nd 2.87

Results
**Raw formation energy**: -1.70 eV/atom
**Crystal system**: trigonal
**Calculated total energy**: -260.915 eV per cell
**Size of the total moment**: 0.000 μB/cell

[2]
The following is a PBE-GGA calculation of a relaxed U2Ga8Pd crystal, from the Alexandria database.

a b c (Å): 4.3092 4.3092 11.1879
angles (deg): 90.00 90.00 90.00
Last column: nearest neighbours and their distance in Å.
Space group P4/mmm (No. 123)
One atom of each set of equivalent atoms:
U 0.0000 0.0000 0.1879  12 Ga 2.98-3.05
Ga 0.0000 0.5000 0.0000  4 U 3.01, 8 Ga 3.03-3.05
Ga 0.0000 0.5000 0.3715  2 Pd 2.59, 1 Ga 2.87
Ga 0.5000 0.5000 0.1905  8 Ga 2.96-3.03, 4 U 3.05
Pd 0.0000 0.0000 0.5000  8 Ga 2.59

Results
**Crystal system**: tetragonal
**Calculated total energy**: -55.582 eV per cell
**ΔE_f**: -0.327 eV per atom
**Size of the total moment**: 4.191 μB/cell

[3]
The following is a PBE-GGA calculation of a relaxed KIr2Pb crystal, from the Alexandria database.

a b c (Å): 8.0319 8.0319 5.7942
angles (deg): 90.00 90.00 90.00
Last column: nearest neighbours and their distance in Å.
Space group I-42d (No. 122)
One atom of each set of equivalent atoms:
K 0.0000 0.0000 0.0000  2 Pb 2.90, 4 Ir 3.20
Ir 0.2034 0.7500 0.6250  2 Pb 2.69, 2 Ir 2.99
Pb 0.0000 0.0000 0.5000  4 Ir 2.69, 2 K 2.90

Results
**Crystal system**: tetragonal
**Calculated total energy**: -72.871 eV per cell
**ΔE_f**: 1.078 eV per atom
**Size of the total moment**: 0.000 μB/cell

[4]
The following is a PBE-GGA calculation of a relaxed TlPb4Au crystal, from the Alexandria database.

a b c (Å): 9.1240 9.1240 9.1240
angles (deg): 90.00 90.00 90.00
Last column: nearest neighbours and their distance in Å.
Space group F-43m (No. 216)
One atom of each set of equivalent atoms:
Tl 0.0000 0.0000 0.0000  12 Pb 3.78, 4 Au 3.95
Pb 0.1247 0.1247 0.3753  6 Pb 3.22-3.23
Au 0.2500 0.2500 0.7500  12 Pb 3.78, 4 Tl 3.95

Results
**Crystal system**: cubic
**Calculated total energy**: -76.289 eV per cell
**ΔE_f**: 0.234 eV per atom
**Size of the total moment**: 0.000 μB/cell
**Excess energy over the best structure of this formula in the dataset**: 223 meV per atom

[5]
The following is a PBE-GGA calculation of a relaxed Li2La2PrIn2 crystal, from the Alexandria database.

a b c (Å): 4.9938 4.9938 26.9389
angles (deg): 90.00 90.00 120.00
Last column: nearest neighbours and their distance in Å.
Space group R-3m (No. 166, hexagonal axes)
One atom of each set of equivalent atoms:
Li 0.0000 0.0000 0.1058  3 In 2.89
La 0.0000 0.0000 0.3689  4 In 3.34-3.61, 3 Li 3.45, 3 La 3.46, 1 Pr 3.53
Pr 0.0000 0.0000 0.5000  6 Li 3.32, 6 In 3.42, 2 La 3.53
In 0.0000 0.0000 0.2350  3 Li 2.89

Results
**Crystal system**: trigonal
**Calculated total energy**: -77.750 eV per cell
**ΔE_f**: -0.283 eV per atom
**Size of the total moment**: 0.003 μB/cell

[6]
The following is a PBE-GGA calculation of a relaxed CsRbTe crystal, from the Alexandria database.

a b c (Å): 5.8174 5.8174 5.7736
angles (deg): 90.00 90.00 120.00
Last column: nearest neighbours and their distance in Å.
Space group P3m1 (No. 156)
One atom of each set of equivalent atoms:
Cs 0.0000 0.0000 0.0000  3 Te 3.81
Rb 0.6667 0.3333 0.4777  3 Te 3.57
Te 0.3333 0.6667 0.6871  3 Rb 3.57, 3 Cs 3.81

Results
**Raw formation energy**: -0.90 eV/atom
**Crystal system**: trigonal
**Calculated total energy**: -7.660 eV per cell
**Size of the total moment**: 0.000 μB/cell

[7]
The following is a PBE-GGA calculation of a relaxed CaMo3 crystal, from the Alexandria database.

a b c (Å): 5.5166 9.7584 2.6589
angles (deg): 90.00 90.00 90.00
Last column: nearest neighbours and their distance in Å.
Space group Cmmm (No. 65)
One atom of each set of equivalent atoms:
Ca 0.0000 0.0000 0.0000  2 Ca 2.66, 2 Mo 2.76
Mo 0.0000 0.5000 0.0000  2 Mo 2.66, 2 Ca 2.76
Mo 0.2500 0.2500 0.5000  4 Mo 2.66-2.76

Results
**Crystal system**: orthorhombic
**Calculated total energy**: -62.800 eV per cell
**ΔE_f**: 0.774 eV per atom
**Size of the total moment**: 0.003 μB/cell
**Excess energy over the best structure of this formula in the dataset**: 301 meV per atom

[8]
The following is a PBE-GGA calculation of a relaxed FeW2Br crystal, from the Alexandria database.

a b c (Å): 9.1266 3.0518 4.7533
angles (deg): 90.00 98.65 90.00
Last column: nearest neighbours and their distance in Å.
Space group C2/m (No. 12)
One atom of each set of equivalent atoms:
Fe 0.0000 0.0000 0.0000  6 W 2.71-2.75, 4 Br 2.82
W 0.2364 0.5000 0.2133  2 W 2.58, 3 Fe 2.71-2.75, 1 Br 2.72
Br 0.0000 0.5000 0.5000  6 W 2.72-3.00, 4 Fe 2.82

Results
**Raw formation energy**: 0.91 eV/atom
**Crystal system**: monoclinic
**Calculated total energy**: -64.837 eV per cell
**Size of the total moment**: 4.508 μB/cell
**Excess energy over the best structure of this formula in the dataset**: 343 meV per atom

[9]
The following is a PBE-GGA calculation of a relaxed KCdPb2F crystal, from the Alexandria database.

a b c (Å): 6.3543 6.3543 6.2420
angles (deg): 90.00 90.00 90.00
Last column: nearest neighbours and their distance in Å.
Space group P4/mmm (No. 123)
One atom of each set of equivalent atoms:
K 0.0000 0.0000 0.0000  2 Cd 3.12, 4 Pb 3.18
Cd 0.0000 0.0000 0.5000  2 K 3.12
Pb 0.0000 0.5000 0.0000  2 K 3.18
F 0.5000 0.5000 0.5000  8 Pb 4.45, 4 Cd 4.49

Results
**Raw formation energy**: 0.60 eV/atom
**Crystal system**: tetragonal
**Calculated total energy**: -8.293 eV per cell
**Size of the total moment**: 0.000 μB/cell

[10]
The following is a PBE-GGA calculation of a relaxed HgGe3Cl12 crystal, from the Alexandria database.

a b c (Å): 12.9716 12.9716 32.2682
angles (deg): 90.00 90.00 120.00
Last column: nearest neighbours and their distance in Å.
Space group R3c (No. 161, hexagonal axes)
One atom of each set of equivalent atoms:
Hg 0.0000 0.0000 0.0000  9 Cl 4.21-4.23
Ge 0.0422 0.3377 0.3066  4 Cl 2.14
Cl 0.0050 0.4489 0.6061  1 Ge 2.14
Cl 0.0330 0.1954 0.6084  1 Ge 2.14
Cl 0.0372 0.3375 0.7007  1 Ge 2.14
Cl 0.0756 0.5156 0.4780  1 Ge 2.14

Results
**Raw formation energy**: -0.86 eV/atom
**Crystal system**: trigonal
**Calculated total energy**: -300.376 eV per cell
**Size of the total moment**: 0.000 μB/cell

[11]
The following is a PBE-GGA calculation of a relaxed Ir3Rh5 crystal, from the Alexandria database.

a b c (Å): 7.5784 7.5784 4.8548
angles (deg): 90.00 90.00 120.00
Last column: nearest neighbours and their distance in Å.
Space group P6_3/mcm (No. 193)
One atom of each set of equivalent atoms:
Ir 0.0000 0.4024 0.2500  9 Rh 2.61-2.91, 2 Ir 2.84
Rh 0.0000 0.2131 0.7500  5 Ir 2.64-2.91, 6 Rh 2.80-2.92
Rh 0.3333 0.6667 0.0000  2 Rh 2.43, 6 Ir 2.61

Results
**Crystal system**: hexagonal
**Calculated total energy**: -120.897 eV per cell
**ΔE_f**: 0.361 eV per atom
**Size of the total moment**: 0.000 μB/cell
**Excess energy over the best structure of this formula in the dataset**: 370 meV per atom

[12]
The following is a PBE-GGA calculation of a relaxed YCu5 crystal, from the Alexandria database.

a b c (Å): 3.1813 3.1813 8.8193
angles (deg): 90.00 90.00 90.00
Last column: nearest neighbours and their distance in Å.
Space group P4/mmm (No. 123)
One atom of each set of equivalent atoms:
Y 0.0000 0.0000 0.0000  10 Cu 2.96-3.13, 4 Y 3.18
Cu 0.0000 0.0000 0.3553  9 Cu 2.55-2.59
Cu 0.5000 0.5000 0.2175  5 Cu 2.49-2.56
Cu 0.5000 0.5000 0.5000  10 Cu 2.49-2.59

Results
**Crystal system**: tetragonal
**Calculated total energy**: -26.985 eV per cell
**ΔE_f**: -0.007 eV per atom
**Size of the total moment**: 0.000 μB/cell